# LaAl4Bi (GGA-PBE, optimized geometry)
# crystal system = cubic
# N(E_F) = 1.15 states/eV/atom
# size of the total moment = 0.0000 μB/atom
# calculated formation energy = -94.7 kJ/mol of formula units
data_LaAl4Bi
_chemical_formula_sum 'La1 Al4 Bi1'
_symmetry_space_group_name_H-M 'P 1'
_symmetry_Int_Tables_number 1
_cell_length_a 5.7433
_cell_length_b 5.7433
_cell_length_c 5.7433
_cell_angle_alpha 60.00
_cell_angle_beta 60.00
_cell_angle_gamma 60.00
loop_
_symmetry_equiv_pos_as_xyz
'x,y,z'
loop_
_atom_site_label
_atom_site_type_symbol
_atom_site_fract_x
_atom_site_fract_y
_atom_site_fract_z
_atom_site_occupancy
Al1 Al 0.6253 0.6253 0.1240 1
Al2 Al 0.6253 0.1240 0.6253 1
Al3 Al 0.6253 0.6253 0.6253 1
Al4 Al 0.1240 0.6253 0.6253 1
Bi1 Bi 0.0000 0.0000 0.0000 1
La1 La 0.2500 0.2500 0.2500 1


# LaAl2Bi2 (GGA-PBE, optimized geometry)
# crystal system = tetragonal
# N(E_F) = 0.98 states/eV/atom
# relative energy among the computed polymorphs = 0.000 eV/atom
# size of the total moment = 0.0000 μB/atom
# calculated formation energy = -94.5 kJ/mol of formula units
data_LaAl2Bi2
_chemical_formula_sum 'La2 Al4 Bi4'
_symmetry_space_group_name_H-M 'P 1'
_symmetry_Int_Tables_number 1
_cell_length_a 8.0923
_cell_length_b 8.0923
_cell_length_c 4.0947
_cell_angle_alpha 90.00
_cell_angle_beta 90.00
_cell_angle_gamma 90.00
loop_
_symmetry_equiv_pos_as_xyz
'x,y,z'
loop_
_atom_site_label
_atom_site_type_symbol
_atom_site_fract_x
_atom_site_fract_y
_atom_site_fract_z
_atom_site_occupancy
Al1 Al 0.3829 0.8829 0.0000 1
Al2 Al 0.8829 0.6171 0.0000 1
Al3 Al 0.6171 0.1171 0.0000 1
Al4 Al 0.1171 0.3829 0.0000 1
Bi1 Bi 0.1758 0.6758 0.5000 1
Bi2 Bi 0.6758 0.8242 0.5000 1
Bi3 Bi 0.8242 0.3242 0.5000 1
Bi4 Bi 0.3242 0.1758 0.5000 1
La1 La 0.0000 0.0000 0.0000 1
La2 La 0.5000 0.5000 0.0000 1


# LaAl2Bi (GGA-PBE, optimized geometry)
# crystal system = tetragonal
# N(E_F) = 0.63 states/eV/atom
# size of the total moment = 0.0000 μB/atom
# calculated formation energy = -32.5 kJ/mol of formula units
data_LaAl2Bi
_chemical_formula_sum 'La2 Al4 Bi2'
_symmetry_space_group_name_H-M 'P 1'
_symmetry_Int_Tables_number 1
_cell_length_a 8.3788
_cell_length_b 8.3788
_cell_length_c 6.7522
_cell_angle_alpha 51.65
_cell_angle_beta 51.65
_cell_angle_gamma 90.00
loop_
_symmetry_equiv_pos_as_xyz
'x,y,z'
loop_
_atom_site_label
_atom_site_type_symbol
_atom_site_fract_x
_atom_site_fract_y
_atom_site_fract_z
_atom_site_occupancy
Al1 Al 0.6531 0.1250 0.2500 1
Al2 Al 0.0969 0.6250 0.2500 1
Al3 Al 0.3750 0.3469 0.7500 1
Al4 Al 0.8750 0.9031 0.7500 1
Bi1 Bi 0.0000 0.0000 0.0000 1
Bi2 Bi 0.7500 0.2500 0.5000 1
La1 La 0.5000 0.5000 0.0000 1
La2 La 0.2500 0.7500 0.5000 1


# LaAlBi2 (GGA-PBE, optimized geometry)
# crystal system = tetragonal
# N(E_F) = 0.22 states/eV/atom
# size of the total moment = 0.0000 μB/atom
# calculated formation energy = -115.1 kJ/mol of formula units
data_LaAlBi2
_chemical_formula_sum 'La2 Al2 Bi4'
_symmetry_space_group_name_H-M 'P 1'
_symmetry_Int_Tables_number 1
_cell_length_a 8.0615
_cell_length_b 8.0615
_cell_length_c 6.9501
_cell_angle_alpha 54.55
_cell_angle_beta 54.55
_cell_angle_gamma 90.00
loop_
_symmetry_equiv_pos_as_xyz
'x,y,z'
loop_
_atom_site_label
_atom_site_type_symbol
_atom_site_fract_x
_atom_site_fract_y
_atom_site_fract_z
_atom_site_occupancy
Al1 Al 0.5000 0.5000 0.0000 1
Al2 Al 0.2500 0.7500 0.5000 1
Bi1 Bi 0.5700 0.1250 0.2500 1
Bi2 Bi 0.1800 0.6250 0.2500 1
Bi3 Bi 0.3750 0.4300 0.7500 1
Bi4 Bi 0.8750 0.8200 0.7500 1
La1 La 0.0000 0.0000 0.0000 1
La2 La 0.7500 0.2500 0.5000 1


# LaMgAlBi2 (GGA-PBE, optimized geometry)
# crystal system = tetragonal
# N(E_F) = 0.50 states/eV/atom
# size of the total moment = 0.0000 μB/atom
# calculated formation energy = 88.5 kJ/mol of formula units
data_LaMgAlBi2
_chemical_formula_sum 'La1 Mg1 Al1 Bi2'
_symmetry_space_group_name_H-M 'P 1'
_symmetry_Int_Tables_number 1
_cell_length_a 5.4720
_cell_length_b 5.7612
_cell_length_c 5.4720
_cell_angle_alpha 90.00
_cell_angle_beta 90.00
_cell_angle_gamma 90.00
loop_
_symmetry_equiv_pos_as_xyz
'x,y,z'
loop_
_atom_site_label
_atom_site_type_symbol
_atom_site_fract_x
_atom_site_fract_y
_atom_site_fract_z
_atom_site_occupancy
Mg1 Mg 0.5000 0.5000 0.5000 1
Al1 Al 0.0000 0.0000 0.0000 1
Bi1 Bi 0.0000 0.0000 0.5000 1
Bi2 Bi 0.5000 0.0000 0.0000 1
La1 La 0.0000 0.5000 0.0000 1


# LaAlBiMo2 (GGA-PBE, optimized geometry)
# crystal system = tetragonal
# N(E_F) = 1.16 states/eV/atom
# size of the total moment = 0.5622 μB/atom
# calculated formation energy = 964.3 kJ/mol of formula units
data_LaAlBiMo2
_chemical_formula_sum 'La1 Al1 Bi1 Mo2'
_symmetry_space_group_name_H-M 'P 1'
_symmetry_Int_Tables_number 1
_cell_length_a 4.8941
_cell_length_b 6.1567
_cell_length_c 4.8941
_cell_angle_alpha 90.00
_cell_angle_beta 90.00
_cell_angle_gamma 90.00
loop_
_symmetry_equiv_pos_as_xyz
'x,y,z'
loop_
_atom_site_label
_atom_site_type_symbol
_atom_site_fract_x
_atom_site_fract_y
_atom_site_fract_z
_atom_site_occupancy
Mo1 Mo 0.0000 0.0000 0.5000 1
Mo2 Mo 0.5000 0.0000 0.0000 1
Al1 Al 0.5000 0.5000 0.5000 1
Bi1 Bi 0.0000 0.5000 0.0000 1
La1 La 0.0000 0.0000 0.0000 1


Question: Look up the calculated formation energy of the third one.
Answer: -32.5 kJ/mol of formula units


Repeat the fifth record exactly.
# LaMgAlBi2 (GGA-PBE, optimized geometry)
# crystal system = tetragonal
# N(E_F) = 0.50 states/eV/atom
# size of the total moment = 0.0000 μB/atom
# calculated formation energy = 88.5 kJ/mol of formula units
data_LaMgAlBi2
_chemical_formula_sum 'La1 Mg1 Al1 Bi2'
_symmetry_space_group_name_H-M 'P 1'
_symmetry_Int_Tables_number 1
_cell_length_a 5.4720
_cell_length_b 5.7612
_cell_length_c 5.4720
_cell_angle_alpha 90.00
_cell_angle_beta 90.00
_cell_angle_gamma 90.00
loop_
_symmetry_equiv_pos_as_xyz
'x,y,z'
loop_
_atom_site_label
_atom_site_type_symbol
_atom_site_fract_x
_atom_site_fract_y
_atom_site_fract_z
_atom_site_occupancy
Mg1 Mg 0.5000 0.5000 0.5000 1
Al1 Al 0.0000 0.0000 0.0000 1
Bi1 Bi 0.0000 0.0000 0.5000 1
Bi2 Bi 0.5000 0.0000 0.0000 1
La1 La 0.0000 0.5000 0.0000 1